## Er3GaNi3 (PBE)

Data for crystalline Er3GaNi3 at its relaxed geometry.

Calculated values
As for the formation energy: -0.55 eV per atom. The mass density comes out at 9.52 Mg/m³. As for the calculated volume: 130.34 Å³/f.u. The value obtained for the density of states at the Fermi level is 4.71 states/eV/f.u. As for the space-group type: No. 63.

POSCAR file:
```
Er3GaNi3
1.0
-0.411 -4.068 0.023
3.793 1.653 -3.319
8.765 -0.830 9.601
Ni Ga Er
6 2 6
direct
0.921 0.842 0.590
0.213 0.425 0.250
0.921 0.842 0.910
0.079 0.158 0.410
0.787 0.575 0.750
0.079 0.158 0.090
0.500 0.000 0.500
0.500 0.000 0.000
0.789 0.578 0.396
0.506 0.013 0.250
0.789 0.578 0.104
0.494 0.987 0.750
0.211 0.422 0.604
0.211 0.422 0.896
```

## Er4Ga16Ni3 (PBE)

Data for crystalline Er4Ga16Ni3 at its relaxed geometry.

Calculated values
As for the formation energy: -0.50 eV per atom. The mass density comes out at 8.06 Mg/m³. As for the calculated volume: 403.88 Å³/f.u. The value obtained for the density of states at the Fermi level is 6.06 states/eV/f.u. As for the space-group type: No. 123.

POSCAR file:
```
Er4Ga16Ni3
1.0
-0.435 -0.999 5.981
5.629 -2.296 0.026
4.053 9.960 1.958
Ga Ni Er
16 3 4
direct
0.254 0.254 0.620
0.746 0.746 0.380
0.000 0.000 0.775
0.000 0.000 0.225
0.746 0.254 0.380
0.282 0.282 0.000
0.500 0.500 0.800
0.254 0.746 0.620
0.282 0.718 0.000
0.718 0.718 0.000
0.500 0.500 0.200
0.746 0.254 0.620
0.254 0.746 0.380
0.718 0.282 0.000
0.746 0.746 0.620
0.254 0.254 0.380
0.000 0.000 0.000
0.000 0.500 0.500
0.500 0.000 0.500
0.500 0.000 0.808
0.500 0.000 0.192
0.000 0.500 0.192
0.000 0.500 0.808
```

## Er3Ga2Ni7 (PBE)

Data for crystalline Er3Ga2Ni7 at its relaxed geometry.

Calculated values
As for the formation energy: -0.53 eV per atom. The mass density comes out at 9.72 Mg/m³. As for the calculated volume: 179.68 Å³/f.u. The value obtained for the density of states at the Fermi level is 8.28 states/eV/f.u. As for the space-group type: No. 166.

POSCAR file:
```
Er3Ga2Ni7
1.0
5.125 0.000 0.000
2.563 4.439 0.000
2.563 1.480 7.898
Er Ni Ga
3 7 2
direct
0.859 0.859 0.422
0.141 0.141 0.578
0.000 0.000 0.000
0.418 0.916 0.248
0.916 0.418 0.248
0.582 0.084 0.752
0.582 0.582 0.752
0.084 0.582 0.752
0.418 0.418 0.248
0.500 0.500 0.500
0.333 0.333 0.002
0.667 0.667 0.998
```

## ErGa2Ni10 (PBE)

Data for crystalline ErGa2Ni10 at its relaxed geometry.

Calculated values
As for the formation energy: -0.23 eV per atom. The mass density comes out at 9.09 Mg/m³. As for the calculated volume: 163.20 Å³/f.u. The value obtained for the density of states at the Fermi level is 18.82 states/eV/f.u. As for the space-group type: No. 69.

POSCAR file:
```
ErGa2Ni10
1.0
-4.779 0.566 0.593
-3.377 -3.611 -3.941
-2.407 -3.960 4.199
Ni Ga Er
10 2 1
direct
0.722 0.780 0.776
0.997 0.651 0.356
0.502 0.220 0.776
0.500 0.000 0.500
0.278 0.220 0.224
0.000 0.000 0.500
0.003 0.349 0.644
0.352 0.651 0.644
0.498 0.780 0.224
0.648 0.349 0.356
0.000 0.500 0.000
0.500 0.500 0.000
0.000 0.000 0.000
```

## ErGa6Ni4 (PBE)

Data for crystalline ErGa6Ni4 at its relaxed geometry.

Calculated values
As for the formation energy: -0.45 eV per atom. The mass density comes out at 8.31 Mg/m³. As for the calculated volume: 163.91 Å³/f.u. The value obtained for the density of states at the Fermi level is 5.37 states/eV/f.u. As for the space-group type: No. 187.

POSCAR file:
```
ErGa6Ni4
1.0
3.922 0.000 0.000
0.000 6.947 0.000
0.000 -3.474 6.017
Ni Ga Er
4 6 1
direct
0.500 0.792 0.208
0.500 0.792 0.584
0.500 0.416 0.208
0.000 0.333 0.667
0.500 0.608 0.804
0.500 0.196 0.392
0.000 0.534 0.466
0.000 0.931 0.466
0.000 0.534 0.069
0.500 0.196 0.804
0.000 0.000 0.000
```

## Er2Ga5Ni5 (PBE)

Data for crystalline Er2Ga5Ni5 at its relaxed geometry.

Calculated values
As for the formation energy: -0.55 eV per atom. The mass density comes out at 8.86 Mg/m³. As for the calculated volume: 183.14 Å³/f.u. The value obtained for the density of states at the Fermi level is 8.05 states/eV/f.u. As for the space-group type: No. 47.

POSCAR file:
```
Er2Ga5Ni5
1.0
-2.786 -2.894 -0.258
3.303 -2.942 -2.663
2.944 -3.507 7.528
Ga Ni Er
5 5 2
direct
0.500 0.751 0.236
0.500 0.751 0.764
0.500 0.249 0.764
0.500 0.249 0.236
0.500 0.500 0.500
0.000 0.000 0.171
0.000 0.500 0.335
0.500 0.000 0.000
0.000 0.500 0.665
0.000 0.000 0.829
0.000 0.500 0.000
0.000 0.000 0.500
```

## Er2Ga4Ni5 (PBE)

Data for crystalline Er2Ga4Ni5 at its relaxed geometry.

Calculated values
As for the formation energy: -0.50 eV per atom. The mass density comes out at 8.61 Mg/m³. As for the calculated volume: 174.97 Å³/f.u. The value obtained for the density of states at the Fermi level is 6.46 states/eV/f.u. As for the space-group type: No. 69.

POSCAR file:
```
Er2Ga4Ni5
1.0
5.280 0.000 0.000
2.640 4.477 0.000
2.640 0.000 7.402
Ga Er Ni
4 2 5
direct
0.212 0.318 0.258
0.470 0.318 0.742
0.788 0.682 0.742
0.530 0.682 0.258
0.129 0.000 0.742
0.871 0.000 0.258
0.000 0.500 0.000
0.250 0.500 0.500
0.750 0.500 0.500
0.500 0.000 0.000
0.500 0.500 0.000
```

## ErGa2Ni3 (PBE)

Data for crystalline ErGa2Ni3 at its relaxed geometry.

Calculated values
As for the formation energy: -0.56 eV per atom. The mass density comes out at 8.90 Mg/m³. As for the calculated volume: 90.06 Å³/f.u. The value obtained for the density of states at the Fermi level is 4.25 states/eV/f.u. As for the space-group type: No. 189.

POSCAR file:
```
ErGa2Ni3
1.0
-6.775 -5.084 2.176
7.684 -3.613 -2.092
1.139 0.157 3.914
Ga Ni Er
6 9 3
direct
0.480 0.480 0.000
0.520 0.000 0.000
0.000 0.520 0.000
0.271 0.000 0.500
0.000 0.271 0.500
0.729 0.729 0.500
0.626 0.799 0.000
0.374 0.173 0.000
0.708 0.000 0.500
0.201 0.827 0.000
0.173 0.374 0.000
0.292 0.292 0.500
0.000 0.708 0.500
0.827 0.201 0.000
0.799 0.626 0.000
0.000 0.000 0.000
0.333 0.667 0.500
0.667 0.333 0.500
```

## Er2Ga2Ni (PBE)

Data for crystalline Er2Ga2Ni at its relaxed geometry.

Calculated values
As for the formation energy: -0.48 eV per atom. The mass density comes out at 8.62 Mg/m³. As for the calculated volume: 102.61 Å³/f.u. The value obtained for the density of states at the Fermi level is 3.87 states/eV/f.u. As for the space-group type: No. 72.

POSCAR file:
```
Er2Ga2Ni
1.0
5.709 0.000 0.000
0.000 5.930 0.000
-2.854 -2.965 6.062
Ga Er Ni
4 4 2
direct
0.077 0.895 0.154
0.423 0.741 0.846
0.923 0.105 0.846
0.577 0.259 0.154
0.664 0.879 0.328
0.836 0.551 0.672
0.164 0.449 0.328
0.336 0.121 0.672
0.750 0.500 0.000
0.250 0.500 0.000
```

## Er2Ga6Ni3 (PBE)

Data for crystalline Er2Ga6Ni3 at its relaxed geometry.

Calculated values
As for the formation energy: -0.51 eV per atom. The mass density comes out at 8.13 Mg/m³. As for the calculated volume: 189.68 Å³/f.u. The value obtained for the density of states at the Fermi level is 5.94 states/eV/f.u. As for the space-group type: No. 189.

POSCAR file:
```
Er2Ga6Ni3
1.0
4.027 0.000 0.000
0.000 7.375 0.000
0.000 -3.688 6.387
Ni Ga Er
3 6 2
direct
0.500 0.000 0.630
0.500 0.370 0.370
0.500 0.630 0.000
0.000 0.796 0.000
0.500 0.000 0.308
0.500 0.692 0.692
0.500 0.308 0.000
0.000 0.204 0.204
0.000 0.000 0.796
0.000 0.667 0.333
0.000 0.333 0.667
```

## ErGa8Ni4 (PBE)

Data for crystalline ErGa8Ni4 at its relaxed geometry.

Calculated values
As for the formation energy: -0.43 eV per atom. The mass density comes out at 8.39 Mg/m³. As for the calculated volume: 190.03 Å³/f.u. The value obtained for the density of states at the Fermi level is 4.56 states/eV/f.u. As for the space-group type: No. 139.

POSCAR file:
```
ErGa8Ni4
1.0
-4.519 2.496 -0.374
-3.786 -0.687 5.348
0.270 6.191 2.239
Ni Ga Er
4 8 1
direct
0.500 0.500 0.000
0.000 0.500 0.000
0.500 0.000 0.500
0.000 0.000 0.500
0.000 0.342 0.658
0.342 0.658 0.658
0.658 0.342 0.342
0.721 0.779 0.779
0.000 0.658 0.342
0.500 0.221 0.779
0.279 0.221 0.221
0.500 0.779 0.221
0.000 0.000 0.000
```

## Er8Ga2Ni3 (PBE)

Data for crystalline Er8Ga2Ni3 at its relaxed geometry.

Calculated values
As for the formation energy: -0.24 eV per atom. The mass density comes out at 8.60 Mg/m³. As for the calculated volume: 319.32 Å³/f.u. The value obtained for the density of states at the Fermi level is 12.87 states/eV/f.u. As for the space-group type: No. 12.

POSCAR file:
```
Er8Ga2Ni3
1.0
-4.125 1.868 -4.056
-2.946 -6.148 0.164
-2.325 5.067 6.418
Er Ni Ga
8 3 2
direct
0.800 0.560 0.120
0.344 0.370 0.249
0.845 0.157 0.313
0.656 0.121 0.751
0.200 0.440 0.880
0.155 0.843 0.687
0.656 0.630 0.751
0.344 0.879 0.249
0.000 0.829 0.000
0.500 0.000 0.000
0.000 0.171 0.000
0.304 0.272 0.544
0.696 0.728 0.456
```